Record 1
Entry from Alexandria: crystalline La2Pm2As5 at its relaxed geometry (GGA-PBE).

```
La2Pm2As5
1.0
7.850 0.000 0.000
0.000 7.522 -4.593
0.000 -0.935 8.763
As Pm La
10 4 4
Cartesian
2.987 -0.574 6.447
0.938 1.354 3.402
6.912 5.233 0.769
4.863 7.161 -2.276
6.912 2.933 4.401
0.938 3.654 -0.231
0.000 0.000 0.000
3.925 3.293 2.085
4.863 1.004 7.446
2.987 5.582 -3.276
5.256 5.478 3.468
6.519 2.184 1.383
2.594 1.109 0.702
1.331 4.403 2.788
0.000 5.942 -2.098
0.000 0.645 6.269
3.925 4.873 -0.409
3.925 1.714 4.580
```

Calculated values
For the final energy, the calculation gives -0.219 hartree per atom. The volume is 26.87 A^3/atom. The formation energy is -1229 meV/atom. As for the total magnetization: 0.00 μB/f.u.



Record 2
Entry from Alexandria: crystalline BeSBr3 at its relaxed geometry (GGA-PBE).

```
BeSBr3
1.0
4.907 0.000 0.000
0.000 4.907 0.000
0.000 0.000 4.907
Br Be S
3 1 1
Cartesian
0.000 0.000 2.454
2.454 0.000 0.000
0.000 2.454 0.000
0.000 0.000 0.000
2.454 2.454 2.454
```

Calculated values
Its polymorph energy (0 for the lowest one) is 0.000 eV per atom. For the final energy, the calculation gives -0.084 hartree per atom. The volume is 23.63 A^3/atom. As for the total magnetization: 2.95 μB/f.u.



Record 3
Entry from Alexandria: crystalline CaSmZnPb at its relaxed geometry (GGA-PBE).

```
CaSmZnPb
1.0
5.370 0.000 0.000
2.685 4.650 0.000
2.685 1.550 4.384
Sm Ca Zn Pb
1 1 1 1
Cartesian
2.685 1.550 1.096
8.054 4.650 3.288
5.370 3.100 2.192
0.000 0.000 0.000
```

Calculated values
For the final energy, the calculation gives -0.122 hartree per atom. The volume is 27.37 A^3/atom. The formation energy is -383 meV/atom. As for the total magnetization: 0.00 μB/f.u.